Record 1
A plane-wave DFT calculation with PBE was carried out for a relaxed CeNdAlAu crystal.

Calculated values
For the energy of formation from the pure elements, the calculation gives -0.40 eV per atom. The calculated volume comes out at 25.99 A^3/atom. The space-group type is F-43m, No. 216. The calculation puts the density at 8.12 g/cm³.

Cell: 7.464 7.464 7.464 Å, 90.00 90.00 90.00°
Element x y z (fractional)
Ce 0.000 0.000 0.000
Ce 0.000 0.500 0.500
Ce 0.500 0.000 0.500
Ce 0.500 0.500 0.000
Nd 0.000 0.000 0.500
Nd 0.000 0.500 0.000
Nd 0.500 0.000 0.000
Nd 0.500 0.500 0.500
Al 0.250 0.250 0.750
Al 0.250 0.750 0.250
Al 0.750 0.250 0.250
Al 0.750 0.750 0.750
Au 0.250 0.250 0.250
Au 0.250 0.750 0.750
Au 0.750 0.250 0.750
Au 0.750 0.750 0.250



Record 2
A plane-wave DFT calculation with PBE was carried out for a relaxed CeAl3NiAu crystal.

Calculated values
For the energy of formation from the pure elements, the calculation gives -0.41 eV per atom. The calculated volume comes out at 18.62 A^3/atom. The space-group type is Cmcm, No. 63. The calculation puts the density at 7.09 g/cm³.

Cell: 6.882 6.882 5.940 Å, 90.00 90.00 127.42°
Element x y z (fractional)
Ce 0.226 0.774 0.750
Ce 0.774 0.226 0.250
Al 0.218 0.218 0.000
Al 0.218 0.218 0.500
Al 0.368 0.632 0.250
Al 0.632 0.368 0.750
Al 0.782 0.782 0.000
Al 0.782 0.782 0.500
Ni 0.428 0.572 0.750
Ni 0.572 0.428 0.250
Au 0.154 0.846 0.250
Au 0.846 0.154 0.750



Record 3
A plane-wave DFT calculation with PBE was carried out for a relaxed CeAlNiAu crystal.

Calculated values
For the energy of formation from the pure elements, the calculation gives -0.41 eV per atom. The calculated volume comes out at 19.01 A^3/atom. The space-group type is F-43m, No. 216. The calculation puts the density at 9.23 g/cm³.

Cell: 6.725 6.725 6.725 Å, 90.00 90.00 90.00°
Element x y z (fractional)
Ce 0.000 0.000 0.000
Ce 0.000 0.500 0.500
Ce 0.500 0.000 0.500
Ce 0.500 0.500 0.000
Al 0.000 0.000 0.500
Al 0.000 0.500 0.000
Al 0.500 0.000 0.000
Al 0.500 0.500 0.500
Ni 0.250 0.250 0.250
Ni 0.250 0.750 0.750
Ni 0.750 0.250 0.750
Ni 0.750 0.750 0.250
Au 0.250 0.250 0.750
Au 0.250 0.750 0.250
Au 0.750 0.250 0.250
Au 0.750 0.750 0.750



Number 1: DOS at the Fermi energy 2.62 states/eV per atom, total magnetic moment 0.3522 μB/atom. Number 2: DOS at the Fermi energy 1.33 states/eV per atom, total magnetic moment 0.1398 μB/atom. Number 3: DOS at the Fermi energy 1.35 states/eV per atom, total magnetic moment 0.0000 μB/atom.